(1)
Below is a geometry-optimized Zr2ScTlC structure, with properties calculated at the PBE level.

Structure (POSCAR):
```
Zr2ScTlC
1.0
-2.6972 3.5895 0.9728
-3.6069 -2.8177 0.3963
0.8971 -0.5257 4.4272
Sc Tl C Zr
1 1 1 2
Direct
0.0000 0.0000 0.5000 Sc
0.5000 0.5000 0.5000 Tl
0.0000 0.0000 0.0000 C
0.0000 0.5000 0.0000 Zr
0.5000 0.0000 0.0000 Zr
```

Energy relative to the elements, eV per atom: -0.495

(2)
Below is a geometry-optimized TmTiIr2 structure, with properties calculated at the PBE level.

Structure (POSCAR):
```
TmTiIr2
1.0
3.0876 0.0000 0.0000
0.0000 3.0876 0.0000
0.0000 0.0000 7.1851
Ir Tm Ti
2 1 1
Direct
0.0000 0.0000 0.7852 Ir
0.0000 0.0000 0.2148 Ir
0.5000 0.5000 0.5000 Tm
0.5000 0.5000 0.0000 Ti
```

Energy relative to the elements, eV per atom: -0.856

(3)
Below is a geometry-optimized KAc2Cu2O6 structure, with properties calculated at the PBE level.

Structure (POSCAR):
```
KAc2Cu2O6
1.0
-1.6266 -5.2067 -2.1016
1.3787 -4.8836 2.9020
-5.9338 -2.9431 3.7541
K Ac Cu O
1 2 2 6
Direct
0.0000 0.0000 0.0000 K
0.7995 0.7995 0.6014 Ac
0.2005 0.2005 0.3986 Ac
0.4350 0.4350 0.6949 Cu
0.5650 0.5650 0.3051 Cu
0.7388 0.7388 0.3221 O
0.2004 0.7388 0.3221 O
0.7388 0.2004 0.3221 O
0.2612 0.7996 0.6779 O
0.7996 0.2612 0.6779 O
0.2612 0.2612 0.6779 O
```

Let's list total magnetization in order: 0.000 0.000 2.397 μB/cell.
Let's list total DFT energy (no corrections) in order: -37.49 -33.51 -65.37 eV for the cell shown.
Let's list DOS(E_F) in order: 3.0 3.1 6.9 states/eV/cell.